No. 1
{
  "formula": "Al2TlCd",
  "functional": "GGA-PBE",
  "state": "optimized geometry",
  "lattice_angstrom": [[4.481, 0.000, 0.000], [0.000, 4.481, 0.000], [0.000, 0.000, 4.446]],
  "species": ["Al", "Al", "Tl", "Cd"],
  "frac_coords": [[0.000, 0.500, 0.000], [0.500, 0.000, 0.000], [0.000, 0.000, 0.500], [0.500, 0.500, 0.500]],
  "mass_density_g_cm3": 6.90,
  "magmom_total_mub_per_atom": 0.000,
  "sg": "P4/mmm",
  "ef_ev_per_atom": 0.2660
}

***

No. 2
{
  "formula": "Al2TlCd",
  "functional": "GGA-PBE",
  "state": "optimized geometry",
  "lattice_angstrom": [[1.560, 0.901, 10.475], [-1.560, 0.901, 10.475], [0.000, -1.802, 10.475]],
  "species": ["Al", "Al", "Tl", "Cd"],
  "frac_coords": [[0.000, 0.000, 0.000], [0.262, 0.262, 0.262], [0.512, 0.512, 0.512], [0.747, 0.747, 0.747]],
  "mass_density_g_cm3": 6.97,
  "magmom_total_mub_per_atom": 0.000,
  "sg": "R3m",
  "ef_ev_per_atom": 0.1670
}

***

No. 3
{
  "formula": "Al2TlCd",
  "functional": "GGA-PBE",
  "state": "optimized geometry",
  "lattice_angstrom": [[-2.314, 2.314, 4.164], [2.314, -2.314, 4.164], [2.314, 2.314, -4.164]],
  "species": ["Al", "Al", "Tl", "Cd"],
  "frac_coords": [[0.000, 0.000, 0.000], [0.750, 0.250, 0.500], [0.500, 0.500, 0.000], [0.250, 0.750, 0.500]],
  "mass_density_g_cm3": 6.90,
  "magmom_total_mub_per_atom": 0.000,
  "sg": "I-4m2",
  "ef_ev_per_atom": 0.2641
}

***

No. 4
{
  "formula": "Al2TlCd",
  "functional": "GGA-PBE",
  "state": "optimized geometry",
  "lattice_angstrom": [[-3.981, 3.981, 3.008], [3.981, -3.981, 3.008], [3.981, 3.981, -3.008]],
  "species": ["Al", "Al", "Al", "Al", "Tl", "Tl", "Cd", "Cd"],
  "frac_coords": [[0.112, 0.625, 0.987], [0.375, 0.362, 0.487], [0.638, 0.125, 0.013], [0.875, 0.888, 0.513], [0.250, 0.750, 0.500], [0.500, 0.500, 0.000], [0.000, 0.000, 0.000], [0.750, 0.250, 0.500]],
  "mass_density_g_cm3": 6.46,
  "magmom_total_mub_per_atom": 0.000,
  "sg": "I-42d",
  "ef_ev_per_atom": 0.3392
}

***

No. 5
{
  "formula": "Al2TlCd",
  "functional": "GGA-PBE",
  "state": "optimized geometry",
  "lattice_angstrom": [[5.467, 0.000, 0.000], [0.000, 5.467, 0.000], [0.000, 0.000, 3.035]],
  "species": ["Al", "Al", "Tl", "Cd"],
  "frac_coords": [[0.000, 0.500, 0.000], [0.500, 0.000, 0.000], [0.000, 0.000, 0.500], [0.500, 0.500, 0.500]],
  "mass_density_g_cm3": 6.79,
  "magmom_total_mub_per_atom": 0.000,
  "sg": "P4/mmm",
  "ef_ev_per_atom": 0.2805
}

***

No. 6
{
  "formula": "AlTl2Cd2",
  "functional": "GGA-PBE",
  "state": "optimized geometry",
  "lattice_angstrom": [[7.358, 0.000, 0.000], [0.000, 7.358, 0.000], [0.000, 0.000, 4.954]],
  "species": ["Al", "Al", "Tl", "Tl", "Tl", "Tl", "Cd", "Cd", "Cd", "Cd"],
  "frac_coords": [[0.000, 0.000, 0.000], [0.500, 0.500, 0.000], [0.170, 0.330, 0.500], [0.330, 0.830, 0.500], [0.670, 0.170, 0.500], [0.830, 0.670, 0.500], [0.142, 0.642, 0.000], [0.358, 0.142, 0.000], [0.642, 0.858, 0.000], [0.858, 0.358, 0.000]],
  "mass_density_g_cm3": 8.18,
  "magmom_total_mub_per_atom": 0.000,
  "sg": "P4/mbm",
  "ef_ev_per_atom": 0.1791
}

***

No. 7
{
  "formula": "AlTlCd2",
  "functional": "GGA-PBE",
  "state": "optimized geometry",
  "lattice_angstrom": [[0.000, 3.640, 3.640], [3.640, 0.000, 3.640], [3.640, 3.640, 0.000]],
  "species": ["Al", "Tl", "Cd", "Cd"],
  "frac_coords": [[0.000, 0.000, 0.000], [0.750, 0.750, 0.750], [0.250, 0.250, 0.250], [0.500, 0.500, 0.500]],
  "mass_density_g_cm3": 7.86,
  "magmom_total_mub_per_atom": 0.000,
  "sg": "F-43m",
  "ef_ev_per_atom": 0.2322
}

***

No. 8
{
  "formula": "Al2TlCd",
  "functional": "GGA-PBE",
  "state": "optimized geometry",
  "lattice_angstrom": [[-1.506, 2.646, 5.731], [1.506, -2.646, 5.731], [1.506, 2.646, -5.731]],
  "species": ["Al", "Al", "Tl", "Cd"],
  "frac_coords": [[0.000, 0.000, 0.000], [0.796, 0.296, 0.500], [0.540, 0.540, 0.000], [0.241, 0.741, 0.500]],
  "mass_density_g_cm3": 6.74,
  "magmom_total_mub_per_atom": 0.000,
  "sg": "Imm2",
  "ef_ev_per_atom": 0.2310
}

***

no.,E_tot (eV/f.u.)
1,-9.703
2,-10.099
3,-9.710
4,-9.410
5,-9.645
6,-9.410
7,-7.010
8,-9.842